# 1
The following is a PBE calculation of a relaxed structure of Pu2BiAu2, from the Alexandria database.

a b c (Å): 5.7351 5.7351 5.7351
angles (deg): 131.03 107.24 92.70
Sites, in units of the cell vectors:
Pu (0.2018, 0.2018, 0.0000)
Pu (0.7982, 0.7982, 0.0000)
Bi (0.5000, 0.0000, 0.5000)
Au (0.2044, 0.5000, 0.7044)
Au (0.7956, 0.5000, 0.2956)

The value obtained for the formation energy is -387 meV/atom. As for the crystal system: orthorhombic. Its space group is Immm, No. 71. The calculated density comes out at 14.1 g/cm3.



# 2
The following is a PBE calculation of a relaxed structure of PuBiAu, from the Alexandria database.

a b c (Å): 9.6179 3.6210 8.2269
angles (deg): 90.00 90.00 90.00
Sites, in units of the cell vectors:
Pu (0.0759, 0.2500, 0.0051)
Pu (0.4241, 0.7500, 0.5051)
Pu (0.5759, 0.2500, 0.4949)
Pu (0.9241, 0.7500, 0.9949)
Bi (0.1175, 0.7500, 0.6726)
Bi (0.3825, 0.2500, 0.1726)
Bi (0.6175, 0.7500, 0.8274)
Bi (0.8825, 0.2500, 0.3274)
Au (0.1461, 0.7500, 0.3056)
Au (0.3539, 0.2500, 0.8056)
Au (0.6461, 0.7500, 0.1944)
Au (0.8539, 0.2500, 0.6944)

The value obtained for the formation energy is -13 meV/atom. As for the crystal system: orthorhombic. Its space group is Pnma, No. 62. The calculated density comes out at 15.1 g/cm3.



# 3
The following is a PBE calculation of a relaxed structure of Pu2Bi3Au3, from the Alexandria database.

a b c (Å): 4.7257 4.7668 8.8474
angles (deg): 90.00 90.00 90.00
Sites, in units of the cell vectors:
Pu (0.0000, 0.0000, 0.2476)
Pu (0.0000, 0.0000, 0.7524)
Bi (0.0000, 0.5000, 0.0000)
Bi (0.0000, 0.5000, 0.5000)
Bi (0.5000, 0.0000, 0.5000)
Au (0.5000, 0.0000, 0.0000)
Au (0.5000, 0.5000, 0.2378)
Au (0.5000, 0.5000, 0.7622)

The value obtained for the formation energy is -269 meV/atom. As for the crystal system: orthorhombic. Its space group is Pmmm, No. 47. The calculated density comes out at 14.2 g/cm3.



# 4
The following is a PBE calculation of a relaxed structure of PuBiRhAu, from the Alexandria database.

a b c (Å): 4.9850 4.9850 4.9850
angles (deg): 60.00 60.00 60.00
Sites, in units of the cell vectors:
Pu (0.0000, 0.0000, 0.0000)
Bi (0.5000, 0.5000, 0.5000)
Rh (0.7500, 0.7500, 0.7500)
Au (0.2500, 0.2500, 0.2500)

The value obtained for the formation energy is -230 meV/atom. As for the crystal system: cubic. Its space group is F-43m, No. 216. The calculated density comes out at 14.3 g/cm3.



# 5
The following is a PBE calculation of a relaxed structure of PuScBiAu, from the Alexandria database.

a b c (Å): 5.1919 5.1919 5.1919
angles (deg): 60.00 60.00 60.00
Sites, in units of the cell vectors:
Pu (0.0000, 0.0000, 0.0000)
Sc (0.5000, 0.5000, 0.5000)
Bi (0.7500, 0.7500, 0.7500)
Au (0.2500, 0.2500, 0.2500)

The value obtained for the formation energy is -455 meV/atom. As for the crystal system: cubic. Its space group is F-43m, No. 216. The calculated density comes out at 11.7 g/cm3.



# 6
The following is a PBE calculation of a relaxed structure of SmPuBiAu, from the Alexandria database.

a b c (Å): 5.3644 5.3644 5.3644
angles (deg): 60.00 60.00 60.00
Sites, in units of the cell vectors:
Sm (0.0000, 0.0000, 0.0000)
Pu (0.5000, 0.5000, 0.5000)
Bi (0.7500, 0.7500, 0.7500)
Au (0.2500, 0.2500, 0.2500)

The value obtained for the formation energy is -533 meV/atom. As for the crystal system: cubic. Its space group is F-43m, No. 216. The calculated density comes out at 12.2 g/cm3.



# 7
The following is a PBE calculation of a relaxed structure of SrPuBiAu, from the Alexandria database.

a b c (Å): 5.5144 5.5144 5.5144
angles (deg): 60.00 60.00 60.00
Sites, in units of the cell vectors:
Sr (0.0000, 0.0000, 0.0000)
Pu (0.5000, 0.5000, 0.5000)
Bi (0.7500, 0.7500, 0.7500)
Au (0.2500, 0.2500, 0.2500)

The value obtained for the formation energy is -533 meV/atom. As for the crystal system: cubic. Its space group is F-43m, No. 216. The calculated density comes out at 10.3 g/cm3.



# 8
The following is a PBE calculation of a relaxed structure of TmPuBiAu, from the Alexandria database.

a b c (Å): 5.2825 5.2825 5.2825
angles (deg): 60.00 60.00 60.00
Sites, in units of the cell vectors:
Tm (0.0000, 0.0000, 0.0000)
Pu (0.5000, 0.5000, 0.5000)
Bi (0.7500, 0.7500, 0.7500)
Au (0.2500, 0.2500, 0.2500)

The value obtained for the formation energy is -488 meV/atom. As for the crystal system: cubic. Its space group is F-43m, No. 216. The calculated density comes out at 13.0 g/cm3.



# 9
The following is a PBE calculation of a relaxed structure of PuUBiAu, from the Alexandria database.

a b c (Å): 5.3002 5.3002 5.3002
angles (deg): 60.00 60.00 60.00
Sites, in units of the cell vectors:
Pu (0.0000, 0.0000, 0.0000)
U (0.5000, 0.5000, 0.5000)
Bi (0.7500, 0.7500, 0.7500)
Au (0.2500, 0.2500, 0.2500)

The value obtained for the formation energy is -123 meV/atom. As for the crystal system: cubic. Its space group is F-43m, No. 216. The calculated density comes out at 14.0 g/cm3.



# 10
The following is a PBE calculation of a relaxed structure of YPuBiAu, from the Alexandria database.

a b c (Å): 5.3182 5.3182 5.3182
angles (deg): 60.00 60.00 60.00
Sites, in units of the cell vectors:
Y (0.0000, 0.0000, 0.0000)
Pu (0.5000, 0.5000, 0.5000)
Bi (0.7500, 0.7500, 0.7500)
Au (0.2500, 0.2500, 0.2500)

The value obtained for the formation energy is -528 meV/atom. As for the crystal system: cubic. Its space group is F-43m, No. 216. The calculated density comes out at 11.5 g/cm3.



# 11
The following is a PBE calculation of a relaxed structure of PuZnBiAu, from the Alexandria database.

a b c (Å): 5.1145 5.1145 5.1145
angles (deg): 60.00 60.00 60.00
Sites, in units of the cell vectors:
Pu (0.0000, 0.0000, 0.0000)
Zn (0.5000, 0.5000, 0.5000)
Bi (0.2500, 0.2500, 0.2500)
Au (0.7500, 0.7500, 0.7500)

The value obtained for the formation energy is -168 meV/atom. As for the crystal system: cubic. Its space group is F-43m, No. 216. The calculated density comes out at 12.6 g/cm3.



# 12
The following is a PBE calculation of a relaxed structure of PuZrBiAu, from the Alexandria database.

a b c (Å): 5.1858 5.1858 5.1858
angles (deg): 60.00 60.00 60.00
Sites, in units of the cell vectors:
Pu (0.0000, 0.0000, 0.0000)
Zr (0.5000, 0.5000, 0.5000)
Bi (0.7500, 0.7500, 0.7500)
Au (0.2500, 0.2500, 0.2500)

The value obtained for the formation energy is -270 meV/atom. As for the crystal system: cubic. Its space group is F-43m, No. 216. The calculated density comes out at 12.5 g/cm3.



| no. | VASP energy (eV per atom) | density of states at the Fermi level (states/eV/f.u.) | total magnetization (μB per formula unit) |
| --- | --- | --- | --- |
| 1 | -8.207 | 21.6 | 11.71 |
| 2 | -7.176 | 3.9 | 0.91 |
| 3 | -6.536 | 26.6 | 11.09 |
| 4 | -7.440 | 12.2 | 5.09 |
| 5 | -7.410 | 10.7 | 7.01 |
| 6 | -7.085 | 11.1 | 7.01 |
| 7 | -6.326 | 15.0 | 6.00 |
| 8 | -6.978 | 11.3 | 6.93 |
| 9 | -8.318 | 11.9 | 10.02 |
| 10 | -7.517 | 11.1 | 7.00 |
| 11 | -5.860 | 12.5 | 5.74 |
| 12 | -7.779 | 10.9 | 7.60 |